Record 1
The following is a DFT calculation (meta-GGA SCAN) of a crystal of Cd2IrBr relaxed with PBEsol.

Cell: 3.0393 3.0393 8.4295 Å, 90.00 90.00 90.00°
Space group P4mm (No. 99)
Inequivalent atoms, fractional coordinates:
Cd: 0.0000 0.0000 0.0000 (multiplicity 1)
Cd: 0.5000 0.5000 0.2684 (multiplicity 1)
Ir: 0.0000 0.0000 0.4827 (multiplicity 1)
Br: 0.5000 0.5000 0.6942 (multiplicity 1)

Calculated values
The value obtained for the formation energy from raw total energies is 0.536 eV per atom. For the relative energy among the computed polymorphs, the calculation gives 0.256 eV/atom.



Record 2
The following is a DFT calculation (meta-GGA SCAN) of a crystal of Li2SbH2 relaxed with PBEsol.

Cell: 3.3893 3.3893 10.3123 Å, 90.00 90.00 90.00°
Space group I4/mmm (No. 139)
Inequivalent atoms, fractional coordinates:
Li: 0.0000 0.0000 0.1884 (multiplicity 4)
Sb: 0.0000 0.0000 0.5000 (multiplicity 2)
H: 0.0000 0.5000 0.2500 (multiplicity 4)

Calculated values
The calculation puts the electronic total energy at -49.21 eV/f.u.



Record 3
The following is a DFT calculation (meta-GGA SCAN) of a crystal of NiAs2RuSe relaxed with PBEsol.

Cell: 4.5569 4.5569 5.0973 Å, 90.00 90.00 90.00°
Space group P4/mmm (No. 123)
Inequivalent atoms, fractional coordinates:
Ni: 0.0000 0.0000 0.0000 (multiplicity 1)
As: 0.0000 0.5000 0.5000 (multiplicity 2)
Ru: 0.5000 0.5000 0.5000 (multiplicity 1)
Se: 0.5000 0.5000 0.0000 (multiplicity 1)

Calculated values
The value obtained for the formation energy from raw total energies is 0.827 eV per atom.



Record 4
The following is a DFT calculation (meta-GGA SCAN) of a crystal of TeWF2 relaxed with PBEsol.

Cell: 4.2652 4.2652 14.3629 Å, 90.00 90.00 90.00°
Space group I4_1/amd (No. 141, origin choice 2)
Inequivalent atoms, fractional coordinates:
Te: 0.0000 0.2500 0.3750 (multiplicity 4)
W: 0.0000 0.2500 0.8750 (multiplicity 4)
F: 0.0000 0.0000 0.0000 (multiplicity 8)

Calculated values
The value obtained for the formation energy from raw total energies is -0.513 eV per atom.



Record 5
The following is a DFT calculation (meta-GGA SCAN) of a crystal of CaCu2Rh relaxed with PBEsol.

Cell: 3.2384 3.2384 6.0591 Å, 90.00 90.00 90.00°
Space group P4/mmm (No. 123)
Inequivalent atoms, fractional coordinates:
Ca: 0.0000 0.0000 0.0000 (multiplicity 1)
Cu: 0.5000 0.5000 0.3029 (multiplicity 2)
Rh: 0.0000 0.0000 0.5000 (multiplicity 1)

Calculated values
For the relative energy among the computed polymorphs, the calculation gives 0.000 eV/atom. The calculation puts the formation energy at 0.035 eV/atom.



Record 6
The following is a DFT calculation (meta-GGA SCAN) of a crystal of K2RhCl relaxed with PBEsol.

Cell: 3.1482 5.4592 6.1651 Å, 90.00 90.00 90.00°
Space group Pmmm (No. 47)
Inequivalent atoms, fractional coordinates:
K: 0.0000 0.0000 0.0000 (multiplicity 1)
K: 0.5000 0.5000 0.5000 (multiplicity 1)
Rh: 0.0000 0.0000 0.5000 (multiplicity 1)
Cl: 0.5000 0.5000 0.0000 (multiplicity 1)

Calculated values
The value obtained for the formation energy from raw total energies is -0.245 eV per atom. For the relative energy among the computed polymorphs, the calculation gives 0.080 eV/atom.